Entry 1:
Ti3CoAs | PBE | optimized geometry

Properties
energy of formation: 0.487 eV per atom
density of states at the Fermi level: 6.85 states/eV/cell
space group: No. 221
size of the total moment: 1.44 μB per formula unit
energy relative to the lowest polymorph listed for this composition: 488 meV per atom
uncorrected energy: -33.00 eV for the cell shown

Unit cell a=4.6345 b=4.6345 c=4.6345 alpha=90.00 beta=90.00 gamma=90.00
Fractional positions:
Ti 0.0000 0.0000 0.5000
Ti 0.0000 0.5000 0.0000
Ti 0.5000 0.0000 0.0000
Co 0.5000 0.5000 0.5000
As 0.0000 0.0000 0.0000

***

Entry 2:
LaAlCr2 | PBE | optimized geometry

Properties
energy of formation: 1.017 eV per atom
density of states at the Fermi level: 32.83 states/eV/cell
space group: No. 122
size of the total moment: 0.00 μB per formula unit
uncorrected energy: -95.40 eV for the cell shown

Unit cell a=7.3573 b=7.3573 c=5.6085 alpha=90.00 beta=90.00 gamma=90.00
Fractional positions:
La 0.0000 0.0000 0.0000
La 0.0000 0.5000 0.2500
La 0.5000 0.0000 0.7500
La 0.5000 0.5000 0.5000
Al 0.0000 0.0000 0.5000
Al 0.0000 0.5000 0.7500
Al 0.5000 0.0000 0.2500
Al 0.5000 0.5000 0.0000
Cr 0.2064 0.2500 0.6250
Cr 0.2500 0.7064 0.8750
Cr 0.2500 0.7936 0.3750
Cr 0.2936 0.2500 0.1250
Cr 0.7064 0.7500 0.1250
Cr 0.7500 0.2064 0.3750
Cr 0.7500 0.2936 0.8750
Cr 0.7936 0.7500 0.6250

***

Question: What is the size of the total moment in the first record?
Answer: 1.44 μB per formula unit

***

Question: The highest uncorrected energy belongs to which entry?
Answer: Ti3CoAs